# PrOsNO PBE-GGA relaxed
data_PrOsNO
_cell_length_a 3.780
_cell_length_b 5.689
_cell_length_c 5.211
_cell_angle_alpha 90.00
_cell_angle_beta 90.00
_cell_angle_gamma 90.00
_symmetry_space_group_name_H-M 'P 1'
_symmetry_Int_Tables_number 1
loop_
_symmetry_equiv_pos_as_xyz
'x,y,z'
loop_
_atom_site_label
_atom_site_fract_x
_atom_site_fract_y
_atom_site_fract_z
Pr1 0.000 0.201 0.000
Pr2 0.000 0.799 0.500
Os1 0.500 0.357 0.503
Os2 0.500 0.643 0.003
N1 0.000 0.346 0.494
N2 0.000 0.654 0.994
O1 0.500 0.054 0.739
O2 0.500 0.946 0.239
# Space group   Pmc2_1
# Distance to the lowest polymorph of the same formula   0.916 eV/f.u.
# Total DFT energy (no corrections)   -8.43 eV/atom

***

# HoTm2Mg3Ir2Pt PBE-GGA relaxed
data_HoTm2Mg3Ir2Pt
_cell_length_a 4.016
_cell_length_b 7.271
_cell_length_c 7.271
_cell_angle_alpha 120.03
_cell_angle_beta 90.00
_cell_angle_gamma 90.00
_symmetry_space_group_name_H-M 'P 1'
_symmetry_Int_Tables_number 1
loop_
_symmetry_equiv_pos_as_xyz
'x,y,z'
loop_
_atom_site_label
_atom_site_fract_x
_atom_site_fract_y
_atom_site_fract_z
Ho1 0.000 0.000 0.000
Tm1 0.000 0.413 0.826
Tm2 0.000 0.826 0.413
Mg1 0.500 0.165 0.414
Mg2 0.500 0.414 0.165
Mg3 0.500 0.662 0.662
Ir1 0.500 0.081 0.745
Ir2 0.500 0.745 0.081
Pt1 0.000 0.415 0.415
# Space group   Amm2
# Total DFT energy (no corrections)   -5.46 eV/atom

***

# Gd2Ag PBE-GGA relaxed
data_Gd2Ag
_cell_length_a 6.215
_cell_length_b 6.215
_cell_length_c 6.215
_cell_angle_alpha 60.00
_cell_angle_beta 60.00
_cell_angle_gamma 60.00
_symmetry_space_group_name_H-M 'P 1'
_symmetry_Int_Tables_number 1
loop_
_symmetry_equiv_pos_as_xyz
'x,y,z'
loop_
_atom_site_label
_atom_site_fract_x
_atom_site_fract_y
_atom_site_fract_z
Gd1 0.000 0.000 0.000
Gd2 0.000 0.000 0.500
Gd3 0.000 0.500 0.000
Gd4 0.500 0.000 0.000
Ag1 0.375 0.375 0.375
Ag2 0.625 0.625 0.625
# ΔH_f (0 K)   43.94 kJ/mol of atoms
# Space group   Fd-3m
# Total DFT energy (no corrections)   -3.59 eV/atom

***

- The highest total DFT energy (no corrections) belongs to which entry?
  Gd2Ag